Compound: VCd2FeO5
Source: the Alexandria database
Functional: PBE with a Hubbard U
Structure: relaxed

Lattice parameters (Å, degrees): 6.3862 6.3862 11.6452 90.00 90.00 151.19
Last column: nearest neighbours and their distance in Å.
Sites, in units of the cell vectors:
V  0.2426  0.7574  0.5000  2 O 1.81-1.91
V  0.7574  0.2426  0.0000  2 O 1.81-1.91
Cd  0.0677  0.9323  0.1443  6 O 2.28-2.41
Cd  0.1607  0.8393  0.7463  5 O 2.23-2.38
Cd  0.8393  0.1607  0.2463  5 O 2.23-2.38
Cd  0.9323  0.0677  0.6443  6 O 2.28-2.41
Fe  0.4574  0.5426  0.9176  4 O 1.99-2.12
Fe  0.5426  0.4574  0.4176  4 O 1.99-2.12
O  0.0893  0.9107  0.5213  1 V 1.91, 2 Fe 2.08
O  0.2508  0.7492  0.1260  2 V 2.16, 3 Cd 2.28-2.38
O  0.2754  0.7246  0.8935  2 V 2.03, 1 Cd 2.23, 1 Fe 2.27
O  0.3887  0.6113  0.4982  1 V 1.81
O  0.4823  0.5177  0.2592  1 Fe 1.99
O  0.5177  0.4823  0.7592  1 Fe 1.99
O  0.6113  0.3887  0.9982  1 V 1.81
O  0.7246  0.2754  0.3935  2 V 2.03, 1 Cd 2.23, 1 Fe 2.27
O  0.7492  0.2508  0.6260  2 V 2.16, 3 Cd 2.28-2.38
O  0.9107  0.0893  0.0213  1 V 1.91, 2 Fe 2.08

Values from the calculation:
Size of the total moment   0.5568 μB per atom
Final energy   -5.797 eV per atom
Symmetry   Cmc2_1 (36)